Density functional theory data (GGA-PBE) for a geometry-optimized NaNd2UN4 structure.

a b c (Å): 3.6054 6.0854 6.0903
angles (deg): 71.36 90.00 90.00
Sites, in units of the cell vectors:
Na  0.0000  0.5000  0.5000
Nd  0.0000  0.0000  0.0000
Nd  0.5000  0.0000  0.5000
U  0.5000  0.5000  0.0000
N  0.0000  0.7377  0.7696
N  0.0000  0.2623  0.2304
N  0.5000  0.7242  0.1934
N  0.5000  0.2758  0.8066

Summary:
**Space group**: P2/m
**Uncorrected formation energy**: -1.087 eV per atom
**Total energy**: -64.1 eV for the cell shown